Record 1
The following is a DFT calculation (PBE) of a relaxed As3RhSe crystal.

* E_tot: -3.793 eV/atom
* ΔE_f (raw): 1.1635 eV/atom
* distance to the lowest polymorph of the same formula: 0.6678 eV/atom

Lattice parameters (Å, degrees): 4.8755 4.8755 4.8755 90.00 90.00 90.00
Sites, in units of the cell vectors:
Se: 0.0000 0.0000 0.0000
As: 0.5000 0.0000 0.0000
As: 0.0000 0.5000 0.0000
As: 0.0000 0.0000 0.5000
Rh: 0.5000 0.5000 0.5000



Record 2
The following is a DFT calculation (PBE) of a relaxed As2Rh2Se crystal.

* E_tot: -5.601 eV/atom
* ΔE_f (raw): -0.1035 eV/atom
* distance to the lowest polymorph of the same formula: 0.0000 eV/atom

Lattice parameters (Å, degrees): 7.4944 7.4944 3.0210 90.00 90.00 90.00
Sites, in units of the cell vectors:
As: 0.1425 0.6425 0.5000
As: 0.8575 0.3575 0.5000
As: 0.6425 0.8575 0.5000
As: 0.3575 0.1425 0.5000
Se: 0.0000 0.0000 0.0000
Se: 0.5000 0.5000 0.0000
Rh: 0.1350 0.3650 0.0000
Rh: 0.3650 0.8650 0.0000
Rh: 0.6350 0.1350 0.0000
Rh: 0.8650 0.6350 0.0000



Record 3
The following is a DFT calculation (PBE) of a relaxed AsRhSe4 crystal.

* E_tot: -3.355 eV/atom
* ΔE_f (raw): 0.9682 eV/atom
* distance to the lowest polymorph of the same formula: 1.1041 eV/atom

Lattice parameters (Å, degrees): 5.5688 5.5688 5.5688 60.00 60.00 60.00
Site moments in Bohr magnetons follow the coordinates.
Sites, in units of the cell vectors:
Se: 0.3735 0.8795 0.3735  0.02
Se: 0.3735 0.3735 0.3735  0.02
Se: 0.8795 0.3735 0.3735  0.02
Se: 0.3735 0.3735 0.8795  0.02
As: 0.7500 0.7500 0.7500  0.01
Rh: 0.0000 0.0000 0.0000  0.30



Record 4
The following is a DFT calculation (PBE) of a relaxed AsRh3Se crystal.

* E_tot: -5.459 eV/atom
* ΔE_f (raw): 0.5789 eV/atom
* distance to the lowest polymorph of the same formula: 0.0385 eV/atom

Lattice parameters (Å, degrees): 4.5735 4.5735 4.5735 90.00 90.00 90.00
Site moments in Bohr magnetons follow the coordinates.
Sites, in units of the cell vectors:
Rh: 0.0000 0.5000 0.0000  0.13
Rh: 0.5000 0.0000 0.0000  0.14
Rh: 0.0000 0.0000 0.5000  0.04
Se: 0.0000 0.0000 0.0000  -0.01
As: 0.5000 0.5000 0.5000  0.01



Record 5
The following is a DFT calculation (PBE) of a relaxed AsRh4Se crystal.

* E_tot: -5.771 eV/atom
* ΔE_f (raw): 0.4860 eV/atom

Lattice parameters (Å, degrees): 5.1965 5.1965 5.1965 60.00 60.00 60.00
Sites, in units of the cell vectors:
Rh: 0.8745 0.3752 0.3752
Rh: 0.3752 0.8745 0.3752
Rh: 0.3752 0.3752 0.8745
Rh: 0.3752 0.3752 0.3752
Se: 0.7500 0.7500 0.7500
As: 0.0000 0.0000 0.0000



Record 6
The following is a DFT calculation (PBE) of a relaxed AsRh3Se crystal.

* E_tot: -5.497 eV/atom
* ΔE_f (raw): 0.5404 eV/atom
* distance to the lowest polymorph of the same formula: 0.0000 eV/atom

Lattice parameters (Å, degrees): 4.5739 4.5739 4.5739 90.00 90.00 90.00
Sites, in units of the cell vectors:
As: 0.0000 0.0000 0.0000
Rh: 0.0000 0.0000 0.5000
Rh: 0.5000 0.0000 0.0000
Rh: 0.0000 0.5000 0.0000
Se: 0.5000 0.5000 0.5000



Repeat the first record exactly.
The following is a DFT calculation (PBE) of a relaxed As3RhSe crystal.

* E_tot: -3.793 eV/atom
* ΔE_f (raw): 1.1635 eV/atom
* distance to the lowest polymorph of the same formula: 0.6678 eV/atom

Lattice parameters (Å, degrees): 4.8755 4.8755 4.8755 90.00 90.00 90.00
Sites, in units of the cell vectors:
Se: 0.0000 0.0000 0.0000
As: 0.5000 0.0000 0.0000
As: 0.0000 0.5000 0.0000
As: 0.0000 0.0000 0.5000
Rh: 0.5000 0.5000 0.5000



Please write out number 5 again, unchanged.
The following is a DFT calculation (PBE) of a relaxed AsRh4Se crystal.

* E_tot: -5.771 eV/atom
* ΔE_f (raw): 0.4860 eV/atom

Lattice parameters (Å, degrees): 5.1965 5.1965 5.1965 60.00 60.00 60.00
Sites, in units of the cell vectors:
Rh: 0.8745 0.3752 0.3752
Rh: 0.3752 0.8745 0.3752
Rh: 0.3752 0.3752 0.8745
Rh: 0.3752 0.3752 0.3752
Se: 0.7500 0.7500 0.7500
As: 0.0000 0.0000 0.0000



Please write out number 2 again, unchanged.
The following is a DFT calculation (PBE) of a relaxed As2Rh2Se crystal.

* E_tot: -5.601 eV/atom
* ΔE_f (raw): -0.1035 eV/atom
* distance to the lowest polymorph of the same formula: 0.0000 eV/atom

Lattice parameters (Å, degrees): 7.4944 7.4944 3.0210 90.00 90.00 90.00
Sites, in units of the cell vectors:
As: 0.1425 0.6425 0.5000
As: 0.8575 0.3575 0.5000
As: 0.6425 0.8575 0.5000
As: 0.3575 0.1425 0.5000
Se: 0.0000 0.0000 0.0000
Se: 0.5000 0.5000 0.0000
Rh: 0.1350 0.3650 0.0000
Rh: 0.3650 0.8650 0.0000
Rh: 0.6350 0.1350 0.0000
Rh: 0.8650 0.6350 0.0000



- Which of these has the highest ΔE_f (raw)?
  As3RhSe